--- i ---
# Ba2Na2Mg

An optimized crystal structure of Ba2Na2Mg (PBE, Alexandria via LeMat-Bulk).

```
Ba2Na2Mg
1.0
4.535 0.000 0.000
0.000 4.535 0.000
2.267 2.267 11.092
Ba Mg Na
2 1 2
Cartesian
4.535 4.535 9.034 Ba
2.267 2.267 2.058 Ba
0.000 0.000 0.000 Mg
4.535 2.267 5.546 Na
2.267 4.535 5.546 Na
```

Fermi-level density of states, states/eV/cell: 4.40
Space group: I4/mmm (139)
Mass density, Mg/m³: 2.51
M_tot, μB/f.u.: 0.00

--- ii ---
# Ba2Na2Mg

An optimized crystal structure of Ba2Na2Mg (PBE, Alexandria via LeMat-Bulk).

```
Ba2Na2Mg
1.0
-6.733 3.551 6.243
2.042 -7.258 6.330
3.668 2.996 2.252
Ba Na Mg
4 4 2
Cartesian
-4.114 1.185 5.125 Ba
-4.314 -1.800 9.422 Ba
-0.577 -4.892 7.448 Ba
-0.377 -1.907 3.151 Ba
-0.302 1.758 4.260 Na
2.197 -2.651 6.054 Na
-3.220 1.940 8.771 Na
-0.721 -2.469 10.566 Na
0.000 0.000 0.000 Mg
-2.346 -1.854 6.287 Mg
```

Fermi-level density of states, states/eV/cell: 6.96
Space group: P4/mbm (127)
Mass density, Mg/m³: 2.25
M_tot, μB/f.u.: 0.00

In meV per atom, relative to the most stable structure: i 0; ii 150.

--- i ---
# Ba2Na2Mg

An optimized crystal structure of Ba2Na2Mg (PBE, Alexandria via LeMat-Bulk).

```
Ba2Na2Mg
1.0
-6.602 -3.369 4.655
5.746 -3.860 5.356
-0.006 4.720 3.408
Mg Na Ba
2 4 4
Cartesian
0.000 0.000 0.000 Mg
-0.428 -3.615 5.005 Mg
-2.120 -5.363 7.424 Na
-3.413 -2.626 3.632 Na
1.264 -1.866 2.587 Na
2.556 -4.603 6.379 Na
-3.575 -1.615 7.203 Ba
-1.042 0.586 4.160 Ba
2.713 -0.894 6.216 Ba
0.180 -3.095 9.259 Ba
```

Fermi-level density of states, states/eV/cell: 8.75
Space group: P4/mbm (127)
Mass density, Mg/m³: 2.57
M_tot, μB/f.u.: 0.00

--- ii ---
# Ba2Na2Mg

An optimized crystal structure of Ba2Na2Mg (PBE, Alexandria via LeMat-Bulk).

```
Ba2Na2Mg
1.0
-2.926 -2.133 2.532
-1.648 -1.992 -3.584
9.691 -6.492 1.875
Na Ba Mg
2 2 1
Cartesian
2.003 -7.021 0.256 Na
3.113 -3.597 0.567 Na
-0.923 -3.639 -0.277 Ba
6.040 -6.979 1.101 Ba
0.000 0.000 0.000 Mg
```

Fermi-level density of states, states/eV/cell: 3.77
Space group: I4/mmm (139)
Mass density, Mg/m³: 2.57
M_tot, μB/f.u.: 0.00

In meV per atom, relative to the most stable structure: i 99; ii 0.

--- i ---
# Ba2NaMg2

An optimized crystal structure of Ba2NaMg2 (PBE, Alexandria via LeMat-Bulk).

```
Ba2NaMg2
1.0
-6.298 -7.121 -4.249
7.923 -3.593 -5.722
0.960 -2.627 2.979
Ba Mg Na
4 4 2
Cartesian
-0.331 -8.420 -7.318 Ba
1.956 -2.294 -2.653 Ba
-2.920 -5.071 -3.531 Ba
4.545 -5.642 -6.440 Ba
4.686 -4.725 -2.875 Mg
3.110 -8.998 -6.135 Mg
-2.101 -8.616 -4.117 Mg
-0.525 -4.342 -0.857 Mg
0.812 -5.357 -4.985 Na
0.000 0.000 0.000 Na
```

Fermi-level density of states, states/eV/cell: 8.53
Space group: P4/mbm (127)
Mass density, Mg/m³: 2.60
M_tot, μB/f.u.: 0.00

--- ii ---
# Ba2NaMg2

An optimized crystal structure of Ba2NaMg2 (PBE, Alexandria via LeMat-Bulk).

```
Ba2NaMg2
1.0
-9.065 2.719 -1.399
-2.234 -2.900 8.839
1.059 4.415 1.716
Ba Na Mg
4 2 4
Cartesian
-7.695 3.508 2.589 Ba
-2.545 0.726 6.566 Ba
-7.421 1.641 7.223 Ba
-2.819 2.593 1.932 Ba
0.000 0.000 0.000 Na
-5.650 -0.090 3.720 Na
-1.926 -0.784 3.206 Mg
-5.428 -1.519 7.258 Mg
-9.373 0.603 4.233 Mg
-5.871 1.338 0.182 Mg
```

Fermi-level density of states, states/eV/cell: 9.02
Space group: P4/mbm (127)
Mass density, Mg/m³: 2.59
M_tot, μB/f.u.: 0.00

In meV per atom, relative to the most stable structure: i 100; ii 0.

--- i ---
# BaNaMg2Ni

An optimized crystal structure of BaNaMg2Ni (PBE, Alexandria via LeMat-Bulk).

```
BaNaMg2Ni
1.0
5.071 0.000 0.000
0.000 5.071 0.000
0.000 0.000 5.543
Ni Mg Ba Na
1 2 1 1
Cartesian
0.000 0.000 0.000 Ni
0.000 2.536 0.000 Mg
2.536 0.000 0.000 Mg
2.536 2.536 2.772 Ba
0.000 0.000 2.772 Na
```

Fermi-level density of states, states/eV/cell: 2.73
Space group: P4/mmm (123)
Mass density, Mg/m³: 3.12
M_tot, μB/f.u.: 0.00

--- ii ---
# BaNaMg2Ni

An optimized crystal structure of BaNaMg2Ni (PBE, Alexandria via LeMat-Bulk).

```
BaNaMg2Ni
1.0
5.112 0.000 0.000
0.000 5.112 0.000
0.000 0.000 5.642
Mg Ba Ni Na
2 1 1 1
Cartesian
2.556 0.000 0.000 Mg
0.000 2.556 0.000 Mg
0.000 0.000 2.821 Ba
0.000 0.000 0.000 Ni
2.556 2.556 2.821 Na
```

Fermi-level density of states, states/eV/cell: 2.44
Space group: P4/mmm (123)
Mass density, Mg/m³: 3.01
M_tot, μB/f.u.: 0.00

In meV per atom, relative to the most stable structure: i 20; ii 0.

--- i ---
# Ba2NaMgPd

An optimized crystal structure of Ba2NaMgPd (PBE, Alexandria via LeMat-Bulk).

```
Ba2NaMgPd
1.0
6.188 0.000 0.000
0.000 6.188 0.000
0.000 0.000 5.553
Ba Mg Na Pd
2 1 1 1
Cartesian
0.000 3.094 0.000 Ba
3.094 0.000 0.000 Ba
3.094 3.094 2.777 Mg
0.000 0.000 2.777 Na
0.000 0.000 0.000 Pd
```

Fermi-level density of states, states/eV/cell: 3.89
Space group: P4/mmm (123)
Mass density, Mg/m³: 3.34
M_tot, μB/f.u.: 0.00

--- ii ---
# Ba2NaMgPd

An optimized crystal structure of Ba2NaMgPd (PBE, Alexandria via LeMat-Bulk).

```
Ba2NaMgPd
1.0
6.244 0.000 0.000
0.000 6.244 0.000
0.000 0.000 5.303
Ba Na Pd Mg
2 1 1 1
Cartesian
0.000 3.122 0.000 Ba
3.122 0.000 0.000 Ba
3.122 3.122 2.651 Na
0.000 0.000 0.000 Pd
0.000 0.000 2.651 Mg
```

Fermi-level density of states, states/eV/cell: 4.13
Space group: P4/mmm (123)
Mass density, Mg/m³: 3.44
M_tot, μB/f.u.: 0.00

In meV per atom, relative to the most stable structure: i 147; ii 0.

--- i ---
# BaMg3Nb

An optimized crystal structure of BaMg3Nb (PBE, Alexandria via LeMat-Bulk).

```
BaMg3Nb
1.0
-3.724 3.099 -2.675
0.724 -3.060 -4.553
-4.029 -3.414 1.654
Ba Nb Mg
1 1 3
Cartesian
0.000 0.000 0.000 Ba
-3.514 -1.687 -2.787 Nb
-2.014 -1.707 0.827 Mg
0.362 -1.530 -2.277 Mg
-1.862 1.549 -1.337 Mg
```

Fermi-level density of states, states/eV/cell: 5.01
Space group: Pm-3m (221)
Mass density, Mg/m³: 2.97
M_tot, μB/f.u.: 0.01

--- ii ---
# BaMg3Nb

An optimized crystal structure of BaMg3Nb (PBE, Alexandria via LeMat-Bulk).

```
BaMg3Nb
1.0
5.533 0.000 0.000
0.000 5.533 0.000
0.000 0.000 5.533
Mg Nb Ba
3 1 1
Cartesian
0.000 0.000 2.766 Mg
0.000 2.766 0.000 Mg
2.766 0.000 0.000 Mg
0.000 0.000 0.000 Nb
2.766 2.766 2.766 Ba
```

Fermi-level density of states, states/eV/cell: 4.45
Space group: Pm-3m (221)
Mass density, Mg/m³: 2.97
M_tot, μB/f.u.: 3.27

In meV per atom, relative to the most stable structure: i 1394; ii 0.

--- i ---
# BaMg6Nb

An optimized crystal structure of BaMg6Nb (PBE, Alexandria via LeMat-Bulk).

```
BaMg6Nb
1.0
3.095 3.702 4.493
-6.508 0.612 -0.860
-0.823 -3.686 3.604
Mg Nb Ba
6 1 1
Cartesian
0.333 -0.172 3.681 Mg
-2.459 0.681 0.135 Mg
-4.015 2.648 1.792 Mg
-1.275 1.860 5.392 Mg
-1.047 2.369 2.184 Mg
1.790 1.572 5.797 Mg
-2.918 0.057 3.173 Nb
-5.708 0.870 -0.414 Ba
```

Fermi-level density of states, states/eV/cell: 3.25
Space group: P-6m2 (187)
Mass density, Mg/m³: 3.18
M_tot, μB/f.u.: 0.39

--- ii ---
# BaMg6Nb

An optimized crystal structure of BaMg6Nb (PBE, Alexandria via LeMat-Bulk).

```
BaMg6Nb
1.0
6.960 0.000 0.000
0.000 6.960 0.000
0.000 0.000 4.256
Nb Mg Ba
1 6 1
Cartesian
0.000 0.000 2.128 Nb
0.000 3.480 2.128 Mg
5.464 1.496 0.000 Mg
3.480 0.000 2.128 Mg
5.464 5.464 0.000 Mg
1.496 1.496 0.000 Mg
1.496 5.464 0.000 Mg
3.480 3.480 2.128 Ba
```

Fermi-level density of states, states/eV/cell: 6.43
Space group: P4/mmm (123)
Mass density, Mg/m³: 3.03
M_tot, μB/f.u.: 2.01

In meV per atom, relative to the most stable structure: i 24; ii 0.

--- i ---
# BaMg14Nb

An optimized crystal structure of BaMg14Nb (PBE, Alexandria via LeMat-Bulk).

```
BaMg14Nb
1.0
0.873 0.108 6.475
-4.622 -3.710 -2.752
6.926 -8.036 -0.800
Mg Ba Nb
14 1 1
Cartesian
0.995 -6.489 3.057 Mg
-2.770 -2.423 0.358 Mg
-0.445 -0.550 1.677 Mg
4.383 -7.404 2.742 Mg
3.810 -7.282 -0.370 Mg
-1.503 -4.960 1.833 Mg
1.999 -9.022 1.429 Mg
-2.379 -2.409 3.599 Mg
-1.787 -5.172 -1.312 Mg
2.935 -4.625 1.131 Mg
0.580 -2.993 3.181 Mg
-0.020 -0.513 4.975 Mg
0.308 -3.219 0.034 Mg
1.439 -8.915 -1.685 Mg
3.278 -4.645 4.298 Ba
0.743 -6.406 0.042 Nb
```

Fermi-level density of states, states/eV/cell: 9.69
Space group: Amm2 (38)
Mass density, Mg/m³: 2.44
M_tot, μB/f.u.: 1.11

--- ii ---
# BaMg14Nb

An optimized crystal structure of BaMg14Nb (PBE, Alexandria via LeMat-Bulk).

```
BaMg14Nb
1.0
3.281 -5.683 0.000
3.281 5.683 0.000
0.000 0.000 10.430
Mg Nb Ba
14 1 1
Cartesian
3.281 3.792 2.837 Mg
1.638 0.946 2.837 Mg
4.836 2.792 0.000 Mg
4.925 0.946 7.593 Mg
3.281 -1.894 2.484 Mg
1.638 0.946 7.593 Mg
1.727 2.792 0.000 Mg
3.281 -1.894 7.947 Mg
3.281 0.099 0.000 Mg
4.925 0.946 2.837 Mg
4.887 -2.821 5.215 Mg
3.281 3.792 7.593 Mg
1.676 -2.821 5.215 Mg
3.281 -0.041 5.215 Mg
0.000 0.000 5.215 Nb
0.000 0.000 0.000 Ba
```

Fermi-level density of states, states/eV/cell: 8.24
Space group: P-6m2 (187)
Mass density, Mg/m³: 2.44
M_tot, μB/f.u.: 0.00

In meV per atom, relative to the most stable structure: i 11; ii 0.